The following is a meta-GGA SCAN calculation of a PBEsol-optimized structure of ZnAgAu2, from Alexandria via LeMat-Bulk.

## Properties
VASP energy: -45.9157 eV/atom
Energy of formation from the pure elements: -45 kJ/mol of formula units

Lattice parameters (Å, degrees): 2.905 3.907 5.672 90.00 90.00 90.00
Fractional coordinates of all 4 atoms:
Zn  0.000  0.000  0.000
Ag  0.500  0.500  0.251
Au  0.000  0.000  0.498
Au  0.500  0.500  0.770

=====

The following is a meta-GGA SCAN calculation of a PBEsol-optimized structure of Mg3C2, from Alexandria via LeMat-Bulk.

## Properties
VASP energy: -6.3624 eV/atom
Energy of formation from the pure elements: 319 kJ/mol of formula units

Lattice parameters (Å, degrees): 5.985 5.575 5.903 62.78 55.92 61.30
Fractional coordinates of all 10 atoms:
Mg  0.000  0.000  0.000
Mg  0.019  0.626  0.793
Mg  0.250  0.250  0.250
Mg  0.457  0.688  0.231
Mg  0.626  0.019  0.562
Mg  0.688  0.457  0.624
C  0.031  0.656  0.395
C  0.332  0.855  0.594
C  0.656  0.031  0.918
C  0.855  0.332  0.219

=====

The following is a meta-GGA SCAN calculation of a PBEsol-optimized structure of ZrCuMoAs2, from Alexandria via LeMat-Bulk.

## Properties
VASP energy: -23.1963 eV/atom
Energy of formation from the pure elements: 500 kJ/mol of formula units

Lattice parameters (Å, degrees): 5.003 5.003 4.722 90.00 90.00 90.00
Fractional coordinates of all 5 atoms:
Zr  0.000  0.000  0.000
Cu  0.000  0.000  0.500
Mo  0.500  0.500  0.500
As  0.000  0.500  0.000
As  0.500  0.000  0.000

=====

Question: The highest VASP energy belongs to which entry?
Answer: Mg3C2

=====

Question: Among the records above, which one has the highest VASP energy?
Answer: Mg3C2

=====

Question: The highest energy of formation from the pure elements belongs to which entry?
Answer: ZrCuMoAs2

=====

Question: Among the records above, which one has the lowest VASP energy?
Answer: ZnAgAu2